Density functional theory data (PBE) for SrVH after structural relaxation.

Calculated values
Calculated total energy (eV/atom): -4.5321
Symmetry: C2/m, No. 12

Unit cell a=6.072 b=10.379 c=4.207 alpha=90.00 beta=118.47 gamma=90.00
Fractional coordinates of all 12 atoms:
Sr: 0.000 0.168 0.000
Sr: 0.000 0.832 0.000
Sr: 0.500 0.332 0.000
Sr: 0.500 0.668 0.000
V: 0.063 0.500 0.256
V: 0.437 0.000 0.744
V: 0.563 0.000 0.256
V: 0.937 0.500 0.744
H: 0.000 0.354 0.500
H: 0.000 0.646 0.500
H: 0.500 0.146 0.500
H: 0.500 0.854 0.500

=====

Density functional theory data (PBE) for ZnCrAs2 after structural relaxation.

Calculated values
E_form (eV per atom): 0.2010
Calculated total energy (eV/atom): -4.8481
Symmetry: P4mm, No. 99

Unit cell a=2.852 b=2.852 c=8.775 alpha=90.00 beta=90.00 gamma=90.00
Fractional coordinates of all 4 atoms:
Zn: 0.000 0.000 0.000
Cr: 0.500 0.500 0.786
As: 0.000 0.000 0.599
As: 0.500 0.500 0.232

=====

Density functional theory data (PBE) for CaHgAs2 after structural relaxation.

Calculated values
E_form (eV per atom): -0.1881
Calculated total energy (eV/atom): -3.0887
Symmetry: R-3m, No. 166

Unit cell a=4.420 b=4.420 c=17.219 alpha=90.00 beta=90.00 gamma=120.00
Fractional coordinates of all 12 atoms:
Ca: 0.000 0.000 0.000
Ca: 0.333 0.667 0.667
Ca: 0.667 0.333 0.333
Hg: 0.000 0.000 0.500
Hg: 0.333 0.667 0.167
Hg: 0.667 0.333 0.833
As: 0.000 0.000 0.248
As: 0.000 0.000 0.752
As: 0.333 0.667 0.419
As: 0.333 0.667 0.914
As: 0.667 0.333 0.086
As: 0.667 0.333 0.581

=====

Density functional theory data (PBE) for NaY2I6 after structural relaxation.

Calculated values
Formation energy from raw total energies (kJ/mol of atoms): -124.9
Calculated total energy (eV/atom): -3.9112
Symmetry: C2/m, No. 12

Unit cell a=8.901 b=8.901 c=11.681 alpha=110.14 beta=110.14 gamma=27.65
Fractional coordinates of all 9 atoms:
Na: 0.000 0.000 0.000
Y: 0.336 0.336 0.670
Y: 0.664 0.664 0.330
I: 0.030 0.030 0.299
I: 0.306 0.306 0.388
I: 0.354 0.354 0.933
I: 0.646 0.646 0.067
I: 0.694 0.694 0.612
I: 0.970 0.970 0.701